CaMg2Rh: relaxed, PBE.

Output
- raw total energy (eV per atom) = -3.531
- space-group type = Pnma
- DFT formation energy (eV per atom) = -0.396

Lattice parameters (Å, degrees): 15.8105 7.9438 5.6842 90.00 90.00 90.00
Last column: nearest neighbours and their distance in Å.
Sites, in units of the cell vectors:
Ca 0.1064 0.2500 0.2361  3 Rh 3.04-3.20, 4 Mg 3.30-3.40
Ca 0.1373 0.7500 0.0403  3 Rh 3.02-3.08
Ca 0.3627 0.2500 0.5403  3 Rh 3.02-3.08
Ca 0.3936 0.7500 0.7361  3 Rh 3.04-3.20, 4 Mg 3.30-3.40
Ca 0.6064 0.2500 0.2639  3 Rh 3.04-3.20, 4 Mg 3.30-3.40
Ca 0.6373 0.7500 0.4597  3 Rh 3.02-3.08
Ca 0.8627 0.2500 0.9597  3 Rh 3.02-3.08
Ca 0.8936 0.7500 0.7639  3 Rh 3.04-3.20, 4 Mg 3.30-3.40
Mg 0.0433 0.0604 0.7228  3 Rh 2.71-2.74, 3 Mg 3.01-3.03
Mg 0.0433 0.4396 0.7228  3 Rh 2.71-2.74, 3 Mg 3.01-3.03
Mg 0.2113 0.5577 0.5320  3 Rh 2.72-2.77, 1 Mg 3.02
Mg 0.2113 0.9423 0.5320  3 Rh 2.72-2.77, 1 Mg 3.02
Mg 0.2887 0.0577 0.0320  3 Rh 2.72-2.77, 1 Mg 3.02
Mg 0.2887 0.4423 0.0320  3 Rh 2.72-2.77, 1 Mg 3.02
Mg 0.4567 0.5604 0.2228  3 Rh 2.71-2.74, 3 Mg 3.01-3.03
Mg 0.4567 0.9396 0.2228  3 Rh 2.71-2.74, 3 Mg 3.01-3.03
Mg 0.5433 0.0604 0.7772  3 Rh 2.71-2.74, 3 Mg 3.01-3.03
Mg 0.5433 0.4396 0.7772  3 Rh 2.71-2.74, 3 Mg 3.01-3.03
Mg 0.7113 0.5577 0.9680  3 Rh 2.72-2.77, 1 Mg 3.02
Mg 0.7113 0.9423 0.9680  3 Rh 2.72-2.77, 1 Mg 3.02
Mg 0.7887 0.0577 0.4680  3 Rh 2.72-2.77, 1 Mg 3.02
Mg 0.7887 0.4423 0.4680  3 Rh 2.72-2.77, 1 Mg 3.02
Mg 0.9567 0.5604 0.2772  3 Rh 2.71-2.74, 3 Mg 3.01-3.03
Mg 0.9567 0.9396 0.2772  3 Rh 2.71-2.74, 3 Mg 3.01-3.03
Rh 0.0671 0.7500 0.5351  6 Mg 2.71-2.74, 2 Ca 3.02-3.04
Rh 0.1877 0.2500 0.7519  6 Mg 2.72-2.77, 2 Ca 3.02-3.04
Rh 0.3123 0.7500 0.2519  6 Mg 2.72-2.77, 2 Ca 3.02-3.04
Rh 0.4329 0.2500 0.0351  6 Mg 2.71-2.74, 2 Ca 3.02-3.04
Rh 0.5671 0.7500 0.9649  6 Mg 2.71-2.74, 2 Ca 3.02-3.04
Rh 0.6877 0.2500 0.7481  6 Mg 2.72-2.77, 2 Ca 3.02-3.04
Rh 0.8123 0.7500 0.2481  6 Mg 2.72-2.77, 2 Ca 3.02-3.04
Rh 0.9329 0.2500 0.4649  6 Mg 2.71-2.74, 2 Ca 3.02-3.04